# GGA+U ZnMoN4O8, optimized geometry
data_ZnMoN4O8
_chemical_formula_sum 'Zn2 Mo2 N8 O16'
_symmetry_space_group_name_H-M 'I -4'
_symmetry_Int_Tables_number 82
_cell_length_a 8.252
_cell_length_b 8.252
_cell_length_c 7.032
_cell_angle_alpha 90.00
_cell_angle_beta 90.00
_cell_angle_gamma 90.00
loop_
_symmetry_equiv_pos_as_xyz
'x,y,z'
'y,-x,-z'
'-x,-y,z'
'-y,x,-z'
'x+1/2,y+1/2,z+1/2'
'y+1/2,-x+1/2,-z+1/2'
'-x+1/2,-y+1/2,z+1/2'
'-y+1/2,x+1/2,-z+1/2'
loop_
_atom_site_label
_atom_site_type_symbol
_atom_site_fract_x
_atom_site_fract_y
_atom_site_fract_z
Zn1 Zn 0.000 0.000 0.000
Mo1 Mo 0.000 0.500 0.250
N1 N 0.067 0.191 0.836
O1 O 0.066 0.334 0.443
O2 O 0.100 0.278 0.257
# **M_tot**: 12.00 μB/f.u.
# **Crystal system**: tetragonal
# **Energy**: -4.679 eV per atom